A relaxed TiGa2H2 crystal, computed with PBE.

Cell: 5.4484 5.4484 3.8933 Å, 90.00 90.00 90.00°
Sites, in units of the cell vectors:
H 0.3085 0.8085 0.0000
H 0.8085 0.6915 0.0000
H 0.6915 0.1915 0.0000
H 0.1915 0.3085 0.0000
Ga 0.2718 0.7718 0.5000
Ga 0.7718 0.7282 0.5000
Ga 0.7282 0.2282 0.5000
Ga 0.2282 0.2718 0.5000
Ti 0.0000 0.0000 0.0000
Ti 0.5000 0.5000 0.0000

---

A relaxed Ti3GaH crystal, computed with PBE.

Cell: 5.2650 5.2650 5.1534 Å, 90.00 90.00 80.02°
Sites, in units of the cell vectors:
H 0.7957 0.2043 0.2500
H 0.2043 0.7957 0.7500
Ga 0.3416 0.6584 0.2500
Ga 0.6584 0.3416 0.7500
Ti 0.8563 0.5444 0.2500
Ti 0.4556 0.1437 0.2500
Ti 0.5444 0.8563 0.7500
Ti 0.1437 0.4556 0.7500
Ti 0.0000 0.0000 0.0000
Ti 0.0000 0.0000 0.5000

---

A relaxed Ti3GaH crystal, computed with PBE.

Cell: 5.1409 5.1409 5.1409 Å, 89.42 89.42 89.42°
Sites, in units of the cell vectors:
H 0.2500 0.2500 0.2500
H 0.7500 0.7500 0.7500
Ga 0.0000 0.0000 0.0000
Ga 0.5000 0.5000 0.5000
Ti 0.0003 0.4997 0.2500
Ti 0.4997 0.2500 0.0003
Ti 0.2500 0.0003 0.4997
Ti 0.7500 0.9997 0.5003
Ti 0.5003 0.7500 0.9997
Ti 0.9997 0.5003 0.7500

---

A relaxed Ti4Ga3H2 crystal, computed with PBE.

Cell: 3.6435 4.9777 6.9508 Å, 96.81 90.00 111.47°
Sites, in units of the cell vectors:
Ti 0.7097 0.4194 0.1338
Ti 0.2903 0.5806 0.8662
Ti 0.8700 0.7401 0.5864
Ti 0.1300 0.2599 0.4136
Ga 0.5825 0.1650 0.7271
Ga 0.0000 0.0000 0.0000
Ga 0.4175 0.8350 0.2729
H 0.7013 0.4026 0.4037
H 0.2987 0.5974 0.5963

---

VASP energy in eV per atom, matching the order above: -4.194; -6.293; -6.280; -5.703